# Ta5Ni3 | Alexandria | PBE | optimized geometry
data_Ta5Ni3
_space_group_name_H-M_alt 'P 63/m c m'
_space_group_IT_number 193
_space_group_name_Hall '-P 6c 2'
_cell_length_a 7.5690
_cell_length_b 7.5690
_cell_length_c 5.0422
_cell_angle_alpha 90.00
_cell_angle_beta 90.00
_cell_angle_gamma 120.00
loop_
_atom_site_label
_atom_site_fract_x
_atom_site_fract_y
_atom_site_fract_z
Ta1 0.0000 0.2428 0.2500
Ta2 0.3333 0.6667 0.0000
Ni1 0.0000 0.4000 0.7500
# Crystal system: hexagonal
# Total moment in Bohr magnetons per cell: 0.00
# V in Å³ per cell: 250
# Energy of formation in meV per atom: -94
# Offset from the most stable computed form in meV/atom: 0

***

# Na2Zn2IrO6 | Alexandria | PBE | optimized geometry
data_Na2Zn2IrO6
_space_group_name_H-M_alt 'C 1 2/m 1'
_space_group_IT_number 12
_cell_length_a 5.4728
_cell_length_b 9.1282
_cell_length_c 5.7682
_cell_angle_alpha 90.00
_cell_angle_beta 109.72
_cell_angle_gamma 90.00
loop_
_space_group_symop_operation_xyz
'x,y,z'
'-x,-y,-z'
'-x,y,-z'
'x,-y,z'
'x+1/2,y+1/2,z'
'-x+1/2,-y+1/2,-z'
'-x+1/2,y+1/2,-z'
'x+1/2,-y+1/2,z'
loop_
_atom_site_label
_atom_site_fract_x
_atom_site_fract_y
_atom_site_fract_z
Na1 0.0000 0.1753 0.0000
Zn1 0.0000 0.3384 0.5000
Ir1 0.0000 0.0000 0.5000
O1 0.2185 0.1576 0.6958
O2 0.2354 0.0000 0.3052
# Crystal system: monoclinic
# Total moment in Bohr magnetons per cell: 1.71
# V in Å³ per cell: 271
# Energy relative to the elements, uncorrected in eV per atom: -1.1773

***

Number 1: DOS at the Fermi energy 1.198 states/eV/atom. Number 2: DOS at the Fermi energy 0.566 states/eV/atom.